Record 1
A relaxed structure of KBa2Br. Source: Alexandria, functional PBE.

Geometry as POSCAR:
```
KBa2Br
1.0
6.855 0.000 0.000
3.427 5.936 0.000
3.427 1.979 5.597
K Ba Br
1 2 1
direct
0.750 0.750 0.750 K
0.250 0.250 0.250 Ba
0.000 0.000 0.000 Ba
0.500 0.500 0.500 Br
```

## Properties
The calculation puts the uncorrected formation energy at -0.198 eV per atom. The calculation puts the energy above the most stable polymorph in this dataset at 2.129 eV per formula unit. As for the space group: F-43m, No. 216. As for the density of states at the Fermi level: 1.511 states/eV/atom. The crystal system is cubic.

Record 2
A relaxed structure of K2BaBr4. Source: Alexandria, functional PBE.

Geometry as POSCAR:
```
K2BaBr4
1.0
4.822 0.000 0.000
0.000 8.410 -0.389
-2.411 -4.490 7.680
Br K Ba
4 2 1
direct
0.363 0.733 0.725 Br
0.119 0.822 0.238 Br
0.637 0.267 0.275 Br
0.881 0.178 0.762 Br
0.293 0.277 0.586 K
0.707 0.723 0.414 K
0.000 0.000 0.000 Ba
```

## Properties
The calculation puts the uncorrected formation energy at -1.898 eV per atom. The calculation puts the energy above the most stable polymorph in this dataset at 0.000 eV per formula unit. As for the space group: C2/m, No. 12. As for the density of states at the Fermi level: 0.000 states/eV/atom. The crystal system is monoclinic.

Record 3
A relaxed structure of KBa2Br. Source: Alexandria, functional PBE.

Geometry as POSCAR:
```
KBa2Br
1.0
-2.816 -3.910 -2.361
2.821 0.285 -3.836
6.660 -5.931 1.879
Ba K Br
2 1 1
direct
0.000 0.132 0.042 Ba
0.000 0.368 0.458 Ba
0.500 0.750 0.750 K
0.500 0.250 0.250 Br
```

## Properties
The calculation puts the uncorrected formation energy at -0.575 eV per atom. The calculation puts the energy above the most stable polymorph in this dataset at 0.621 eV per formula unit. As for the space group: P2/m, No. 10. As for the density of states at the Fermi level: 1.043 states/eV/atom. The crystal system is monoclinic.

Record 4
A relaxed structure of KBa2Br. Source: Alexandria, functional PBE.

Geometry as POSCAR:
```
KBa2Br
1.0
4.446 0.019 0.000
-2.172 3.880 0.000
0.000 0.000 13.011
K Ba Br
1 2 1
direct
0.500 0.500 0.750 K
0.000 0.000 0.054 Ba
0.000 0.000 0.446 Ba
0.500 0.500 0.250 Br
```

## Properties
The calculation puts the uncorrected formation energy at -0.666 eV per atom. The calculation puts the energy above the most stable polymorph in this dataset at 0.255 eV per formula unit. As for the space group: Cmmm, No. 65. As for the density of states at the Fermi level: 1.114 states/eV/atom. The crystal system is orthorhombic.

| no. | total DFT energy (no corrections) (eV/atom) |
| --- | --- |
| 1 | -1.85 |
| 2 | -3.44 |
| 3 | -2.23 |
| 4 | -2.32 |